No. 1
TmAgS2 | PBE | optimized geometry

Unit cell a=3.8103 b=3.8103 c=20.1267 alpha=90.00 beta=90.00 gamma=120.00
Space group R3m (No. 160, hexagonal axes)
One atom of each set of equivalent atoms:
Tm 0.0000 0.0000 0.0000 [3 per cell]
Ag 0.0000 0.0000 0.1668 [3 per cell]
S 0.0000 0.0000 0.5856 [3 per cell]
S 0.0000 0.0000 0.7468 [3 per cell]

**Energy relative to the elements, uncorrected**: -1.16 eV/atom
**Total moment**: 0.00 μB/f.u.

---

No. 2
La4NdSm10 | PBE | optimized geometry

Unit cell a=11.564 b=11.564 c=8.063 alpha=90.00 beta=90.00 gamma=90.00
Space group I4/mmm (No. 139)
One atom of each set of equivalent atoms:
La 0.227 0.227 0.000 [8 per cell]
Nd 0.000 0.000 0.000 [2 per cell]
Sm 0.000 0.209 0.292 [16 per cell]
Sm 0.000 0.500 0.250 [4 per cell]

**DOS at the Fermi energy**: 1.42 states/eV/atom
**Total moment**: 0.00 μB/f.u.
**VASP energy**: -4.541 eV/atom

---

The calculation returns the following calculated volume values, one per record and in order: 253.1 1078.2 Å³ per cell.